1.
DFT (PBE) results for crystalline Ba2CoAsN at its relaxed geometry.

Cell and atoms, written as extended XYZ:
```
10
Lattice="6.899 0.000 0.000 0.000 4.171 0.000 -3.267 0.000 8.944" Properties=species:S:1:pos:R:3 pbc="T T T"
Ba 0.177 1.043 3.456
Ba -1.600 1.043 8.659
Ba 5.232 3.128 0.286
Ba 3.455 3.128 5.488
Co 2.456 3.128 2.204
Co 1.176 1.043 6.741
As 0.057 3.128 6.291
As 3.575 1.043 2.653
N 0.828 3.128 1.556
N 2.805 1.043 7.388
```

Values from the calculation:
* energy: -53.8 eV/cell
* space-group type: P2_1/m, No. 11
* formation energy (no corrections): -597.4 meV/atom
* total moment: 2.3 μB/f.u.
* relative energy among the computed polymorphs: 0.000 eV per atom

2.
DFT (PBE) results for crystalline BaNbCoAs2 at its relaxed geometry.

Cell and atoms, written as extended XYZ:
```
5
Lattice="-2.009 2.009 6.925 2.009 -2.009 6.925 2.009 2.009 -6.925" Properties=species:S:1:pos:R:3 pbc="T T T"
Ba 0.000 0.000 0.000
Nb 2.009 0.000 3.462
Co 0.000 2.009 3.462
As 0.000 0.000 5.001
As 0.000 0.000 8.848
```

Values from the calculation:
* energy: -31.6 eV/cell
* space-group type: I-4m2, No. 119
* total moment: 0.7 μB/f.u.
* formation enthalpy at 0 K: -0.645 eV per atom

3.
DFT (PBE) results for crystalline BaCoNiAs2 at its relaxed geometry.

Cell and atoms, written as extended XYZ:
```
5
Lattice="-2.026 2.026 6.170 2.026 -2.026 6.170 2.026 2.026 -6.170" Properties=species:S:1:pos:R:3 pbc="T T T"
Ba 0.000 0.000 0.000
Co 2.026 0.000 3.085
Ni 0.000 2.026 3.085
As 0.000 0.000 4.277
As 0.000 0.000 8.064
```

Values from the calculation:
* energy: -27.2 eV/cell
* space-group type: I-4m2, No. 119
* total moment: 0.5 μB/f.u.
* formation enthalpy at 0 K: -0.622 eV per atom

4.
DFT (PBE) results for crystalline Ba2CoNiAs at its relaxed geometry.

Cell and atoms, written as extended XYZ:
```
5
Lattice="5.996 0.000 0.000 0.000 5.996 0.000 0.000 0.000 4.372" Properties=species:S:1:pos:R:3 pbc="T T T"
Ba 0.000 2.998 0.000
Ba 2.998 0.000 0.000
Co 0.000 0.000 2.186
Ni 2.998 2.998 0.000
As 2.998 2.998 2.186
```

Values from the calculation:
* energy: -21.0 eV/cell
* space-group type: P4/mmm, No. 123
* total moment: 1.7 μB/f.u.
* relative energy among the computed polymorphs: 0.000 eV per atom
* formation enthalpy at 0 K: 0.077 eV per atom

5.
DFT (PBE) results for crystalline Ba2CoNiAs at its relaxed geometry.

Cell and atoms, written as extended XYZ:
```
5
Lattice="6.280 0.000 0.000 0.000 6.280 0.000 0.000 0.000 4.352" Properties=species:S:1:pos:R:3 pbc="T T T"
Ba 0.000 3.140 0.000
Ba 3.140 0.000 0.000
Co 0.000 0.000 2.176
Ni 3.140 3.140 2.176
As 0.000 0.000 0.000
```

Values from the calculation:
* energy: -20.6 eV/cell
* space-group type: P4/mmm, No. 123
* total moment: 1.7 μB/f.u.
* relative energy among the computed polymorphs: 0.084 eV per atom
* formation enthalpy at 0 K: 0.161 eV per atom

- Among the records above, which one has the lowest energy?
  Ba2CoAsN